No. 1
The following is a DFT calculation (PBE-GGA) of an optimized crystal structure of LaZn2P.

The structure in CIF format:
```
data_LaZn2P
_chemical_formula_sum 'La1 Zn2 P1'
_cell_length_a 4.587
_cell_length_b 4.287
_cell_length_c 4.602
_cell_angle_alpha 90.00
_cell_angle_beta 103.55
_cell_angle_gamma 90.00
_space_group_name_H-M_alt 'P 1'
_space_group_IT_number 1
_space_group_name_Hall 'P 1'
loop_
_atom_site_label
_atom_site_type_symbol
_atom_site_fract_x
_atom_site_fract_y
_atom_site_fract_z
_atom_site_occupancy
La1 La 0.000 0.000 0.000 1
Zn1 Zn 0.311 0.500 0.684 1
Zn2 Zn 0.689 0.500 0.316 1
P1 P 0.500 0.000 0.500 1
```

Properties
- E_tot: -3.723 eV per atom
- E_form: -0.50 eV/atom
- Total magnetic moment: 0.0 μB per formula unit



No. 2
The following is a DFT calculation (PBE-GGA) of an optimized crystal structure of SrCa2I2.

The structure in CIF format:
```
data_SrCa2I2
_chemical_formula_sum 'Sr2 Ca4 I4'
_cell_length_a 4.651
_cell_length_b 4.651
_cell_length_c 17.606
_cell_angle_alpha 90.00
_cell_angle_beta 90.00
_cell_angle_gamma 90.00
_space_group_name_H-M_alt 'P 1'
_space_group_IT_number 1
_space_group_name_Hall 'P 1'
loop_
_atom_site_label
_atom_site_type_symbol
_atom_site_fract_x
_atom_site_fract_y
_atom_site_fract_z
_atom_site_occupancy
Sr1 Sr 0.000 0.000 0.000 1
Sr2 Sr 0.500 0.500 0.500 1
Ca1 Ca 0.000 0.500 0.250 1
Ca2 Ca 0.000 0.500 0.750 1
Ca3 Ca 0.500 0.000 0.250 1
Ca4 Ca 0.500 0.000 0.750 1
I1 I 0.000 0.000 0.399 1
I2 I 0.000 0.000 0.601 1
I3 I 0.500 0.500 0.101 1
I4 I 0.500 0.500 0.899 1
```

Properties
- E_tot: -2.334 eV per atom
- E above lowest polymorph: 59 meV/atom
- Energy relative to the elements, uncorrected: -0.5765 eV/atom
- Total magnetic moment: 0.0 μB per formula unit



No. 3
The following is a DFT calculation (PBE-GGA) of an optimized crystal structure of Nd3TmS4.

The structure in CIF format:
```
data_Nd3TmS4
_chemical_formula_sum 'Nd6 Tm2 S8'
_cell_length_a 7.014
_cell_length_b 7.977
_cell_length_c 6.936
_cell_angle_alpha 90.00
_cell_angle_beta 109.30
_cell_angle_gamma 90.00
_space_group_name_H-M_alt 'P 1'
_space_group_IT_number 1
_space_group_name_Hall 'P 1'
loop_
_atom_site_label
_atom_site_type_symbol
_atom_site_fract_x
_atom_site_fract_y
_atom_site_fract_z
_atom_site_occupancy
Nd1 Nd 0.000 0.122 0.250 1
Nd2 Nd 0.000 0.373 0.750 1
Nd3 Nd 0.000 0.627 0.250 1
Nd4 Nd 0.000 0.878 0.750 1
Nd5 Nd 0.500 0.123 0.750 1
Nd6 Nd 0.500 0.877 0.250 1
Tm1 Tm 0.500 0.374 0.250 1
Tm2 Tm 0.500 0.626 0.750 1
S1 S 0.258 0.134 0.008 1
S2 S 0.258 0.866 0.508 1
S3 S 0.265 0.383 0.499 1
S4 S 0.265 0.617 0.999 1
S5 S 0.735 0.383 0.001 1
S6 S 0.735 0.617 0.501 1
S7 S 0.742 0.134 0.492 1
S8 S 0.742 0.866 0.992 1
```

Properties
- E_tot: -6.411 eV per atom
- E above lowest polymorph: 0 meV/atom
- Energy relative to the elements, uncorrected: -2.0003 eV/atom
- Total magnetic moment: 0.0 μB per formula unit



No. 4
The following is a DFT calculation (PBE-GGA) of an optimized crystal structure of Sm11Zn9Pd4.

The structure in CIF format:
```
data_Sm11Zn9Pd4
_chemical_formula_sum 'Sm11 Zn9 Pd4'
_cell_length_a 12.815
_cell_length_b 12.815
_cell_length_c 3.710
_cell_angle_alpha 90.00
_cell_angle_beta 90.00
_cell_angle_gamma 112.78
_space_group_name_H-M_alt 'P 1'
_space_group_IT_number 1
_space_group_name_Hall 'P 1'
loop_
_atom_site_label
_atom_site_type_symbol
_atom_site_fract_x
_atom_site_fract_y
_atom_site_fract_z
_atom_site_occupancy
Sm1 Sm 0.000 0.000 0.000 1
Sm2 Sm 0.064 0.411 0.000 1
Sm3 Sm 0.170 0.830 0.000 1
Sm4 Sm 0.286 0.286 0.000 1
Sm5 Sm 0.369 0.631 0.000 1
Sm6 Sm 0.411 0.064 0.000 1
Sm7 Sm 0.589 0.936 0.000 1
Sm8 Sm 0.631 0.369 0.000 1
Sm9 Sm 0.714 0.714 0.000 1
Sm10 Sm 0.830 0.170 0.000 1
Sm11 Sm 0.936 0.589 0.000 1
Zn1 Zn 0.064 0.211 0.500 1
Zn2 Zn 0.163 0.632 0.500 1
Zn3 Zn 0.211 0.064 0.500 1
Zn4 Zn 0.368 0.837 0.500 1
Zn5 Zn 0.500 0.500 0.500 1
Zn6 Zn 0.632 0.163 0.500 1
Zn7 Zn 0.789 0.936 0.500 1
Zn8 Zn 0.837 0.368 0.500 1
Zn9 Zn 0.936 0.789 0.500 1
Pd1 Pd 0.249 0.446 0.500 1
Pd2 Pd 0.446 0.249 0.500 1
Pd3 Pd 0.554 0.751 0.500 1
Pd4 Pd 0.751 0.554 0.500 1
```

Properties
- E_tot: -3.991 eV per atom
- E_form: -0.48 eV/atom
- Total magnetic moment: 0.0 μB per formula unit



No. 5
The following is a DFT calculation (PBE-GGA) of an optimized crystal structure of Mn2CuP.

The structure in CIF format:
```
data_Mn2CuP
_chemical_formula_sum 'Mn8 Cu4 P4'
_cell_length_a 5.712
_cell_length_b 5.712
_cell_length_c 5.712
_cell_angle_alpha 90.00
_cell_angle_beta 90.00
_cell_angle_gamma 90.00
_space_group_name_H-M_alt 'P 1'
_space_group_IT_number 1
_space_group_name_Hall 'P 1'
loop_
_atom_site_label
_atom_site_type_symbol
_atom_site_fract_x
_atom_site_fract_y
_atom_site_fract_z
_atom_site_occupancy
Mn1 Mn 0.000 0.000 0.000 1
Mn2 Mn 0.000 0.500 0.500 1
Mn3 Mn 0.250 0.250 0.250 1
Mn4 Mn 0.250 0.750 0.750 1
Mn5 Mn 0.500 0.000 0.500 1
Mn6 Mn 0.500 0.500 0.000 1
Mn7 Mn 0.750 0.250 0.750 1
Mn8 Mn 0.750 0.750 0.250 1
Cu1 Cu 0.000 0.000 0.500 1
Cu2 Cu 0.000 0.500 0.000 1
Cu3 Cu 0.500 0.000 0.000 1
Cu4 Cu 0.500 0.500 0.500 1
P1 P 0.250 0.250 0.750 1
P2 P 0.250 0.750 0.250 1
P3 P 0.750 0.250 0.250 1
P4 P 0.750 0.750 0.750 1
```

Properties
- E_tot: -6.923 eV per atom
- E_form: 0.04 eV/atom
- Total magnetic moment: 2.0 μB per formula unit



No. 6
The following is a DFT calculation (PBE-GGA) of an optimized crystal structure of Cs2VCCl6.

The structure in CIF format:
```
data_Cs2VCCl6
_chemical_formula_sum 'Cs2 V1 C1 Cl6'
_cell_length_a 7.618
_cell_length_b 7.618
_cell_length_c 7.618
_cell_angle_alpha 126.57
_cell_angle_beta 126.57
_cell_angle_gamma 78.95
_space_group_name_H-M_alt 'P 1'
_space_group_IT_number 1
_space_group_name_Hall 'P 1'
loop_
_atom_site_label
_atom_site_type_symbol
_atom_site_fract_x
_atom_site_fract_y
_atom_site_fract_z
_atom_site_occupancy
Cs1 Cs 0.250 0.750 0.500 1
Cs2 Cs 0.750 0.250 0.500 1
V1 V 0.000 0.000 0.000 1
C1 C 0.500 0.500 0.000 1
Cl1 Cl 0.200 0.200 0.000 1
Cl2 Cl 0.255 0.255 0.509 1
Cl3 Cl 0.255 0.745 0.000 1
Cl4 Cl 0.745 0.255 0.000 1
Cl5 Cl 0.745 0.745 0.491 1
Cl6 Cl 0.800 0.800 0.000 1
```

Properties
- E_tot: -3.849 eV per atom
- Energy relative to the elements, uncorrected: -0.7364 eV/atom
- Total magnetic moment: 3.0 μB per formula unit



No. 7
The following is a DFT calculation (PBE-GGA) of an optimized crystal structure of Mg6GaNi.

The structure in CIF format:
```
data_Mg6GaNi
_chemical_formula_sum 'Mg12 Ga2 Ni2'
_cell_length_a 4.875
_cell_length_b 6.110
_cell_length_c 10.337
_cell_angle_alpha 90.00
_cell_angle_beta 90.00
_cell_angle_gamma 90.00
_space_group_name_H-M_alt 'P 1'
_space_group_IT_number 1
_space_group_name_Hall 'P 1'
loop_
_atom_site_label
_atom_site_type_symbol
_atom_site_fract_x
_atom_site_fract_y
_atom_site_fract_z
_atom_site_occupancy
Mg1 Mg 0.000 0.000 0.000 1
Mg2 Mg 0.000 0.000 0.496 1
Mg3 Mg 0.000 0.242 0.258 1
Mg4 Mg 0.000 0.258 0.758 1
Mg5 Mg 0.000 0.500 0.500 1
Mg6 Mg 0.000 0.500 0.996 1
Mg7 Mg 0.000 0.742 0.758 1
Mg8 Mg 0.000 0.758 0.258 1
Mg9 Mg 0.500 0.249 0.584 1
Mg10 Mg 0.500 0.251 0.084 1
Mg11 Mg 0.500 0.749 0.084 1
Mg12 Mg 0.500 0.751 0.584 1
Ga1 Ga 0.500 0.000 0.836 1
Ga2 Ga 0.500 0.500 0.336 1
Ni1 Ni 0.500 0.000 0.337 1
Ni2 Ni 0.500 0.500 0.837 1
```

Properties
- E_tot: -2.318 eV per atom
- E above lowest polymorph: 7 meV/atom
- E_form: -0.02 eV/atom
- Total magnetic moment: 0.0 μB per formula unit



No. 8
The following is a DFT calculation (PBE-GGA) of an optimized crystal structure of ScBeNi.

The structure in CIF format:
```
data_ScBeNi
_chemical_formula_sum 'Sc4 Be4 Ni4'
_cell_length_a 3.606
_cell_length_b 3.606
_cell_length_c 13.010
_cell_angle_alpha 90.00
_cell_angle_beta 90.00
_cell_angle_gamma 90.00
_space_group_name_H-M_alt 'P 1'
_space_group_IT_number 1
_space_group_name_Hall 'P 1'
loop_
_atom_site_label
_atom_site_type_symbol
_atom_site_fract_x
_atom_site_fract_y
_atom_site_fract_z
_atom_site_occupancy
Sc1 Sc 0.000 0.000 0.168 1
Sc2 Sc 0.000 0.000 0.832 1
Sc3 Sc 0.500 0.500 0.332 1
Sc4 Sc 0.500 0.500 0.668 1
Be1 Be 0.000 0.500 0.000 1
Be2 Be 0.000 0.500 0.500 1
Be3 Be 0.500 0.000 0.000 1
Be4 Be 0.500 0.000 0.500 1
Ni1 Ni 0.000 0.000 0.398 1
Ni2 Ni 0.000 0.000 0.602 1
Ni3 Ni 0.500 0.500 0.102 1
Ni4 Ni 0.500 0.500 0.898 1
```

Properties
- E_tot: -5.643 eV per atom
- E above lowest polymorph: 8 meV/atom
- E_form: -0.36 eV/atom
- Total magnetic moment: 0.0 μB per formula unit



No. 9
The following is a DFT calculation (PBE-GGA) of an optimized crystal structure of ZrFe3Au.

The structure in CIF format:
```
data_ZrFe3Au
_chemical_formula_sum 'Zr1 Fe3 Au1'
_cell_length_a 4.704
_cell_length_b 4.704
_cell_length_c 4.704
_cell_angle_alpha 90.00
_cell_angle_beta 90.00
_cell_angle_gamma 90.00
_space_group_name_H-M_alt 'P 1'
_space_group_IT_number 1
_space_group_name_Hall 'P 1'
loop_
_atom_site_label
_atom_site_type_symbol
_atom_site_fract_x
_atom_site_fract_y
_atom_site_fract_z
_atom_site_occupancy
Zr1 Zr 0.000 0.000 0.000 1
Fe1 Fe 0.000 0.500 0.500 1
Fe2 Fe 0.500 0.000 0.500 1
Fe3 Fe 0.500 0.500 0.000 1
Au1 Au 0.500 0.500 0.500 1
```

Properties
- E_tot: -6.314 eV per atom
- E above lowest polymorph: 0 meV/atom
- E_form: 1.13 eV/atom
- Total magnetic moment: 7.8 μB per formula unit



- Which formula does entry 4 have?
  Sm11Zn9Pd4



- The highest total magnetic moment belongs to which entry?
  ZrFe3Au